Version 1
Compound: InAu2Cl
Source: Alexandria via LeMat-Bulk
Functional: PBE
Structure: optimized geometry

Cell lengths 3.913, 3.930, 5.718 Å; angles 90.00, 90.00, 90.00 degrees
Positions (direct):
Au (0.000, 0.000, 0.988)
Au (0.000, 0.000, 0.512)
In (0.500, 0.500, 0.750)
Cl (0.500, 0.500, 0.250)

Results
- Space group: Pmmm, No. 47

=====

Version 2
Compound: InAu2Cl
Source: Alexandria via LeMat-Bulk
Functional: PBE
Structure: optimized geometry

Cell lengths 4.987, 4.987, 7.512 Å; angles 57.48, 57.48, 43.81 degrees
Positions (direct):
In (0.221, 0.221, 0.162)
Au (0.766, 0.766, 0.851)
Au (0.997, 0.997, 0.999)
Cl (0.517, 0.517, 0.488)

Results
- Space group: Cm, No. 8

=====

Here is how they stack up, most stable first: version 2, version 1.

=====

Version 1
Compound: InAuCl
Source: Alexandria via LeMat-Bulk
Functional: PBE
Structure: optimized geometry

Cell lengths 4.020, 4.020, 5.489 Å; angles 90.00, 90.00, 120.00 degrees
Positions (direct):
Au (0.000, 0.000, 0.954)
In (0.333, 0.667, 0.692)
Cl (0.667, 0.333, 0.355)

Results
- Space group: P3m1, No. 156

=====

Version 2
Compound: InAuCl
Source: Alexandria via LeMat-Bulk
Functional: PBE
Structure: optimized geometry

Cell lengths 4.834, 4.834, 4.834 Å; angles 60.00, 60.00, 60.00 degrees
Positions (direct):
Cl (0.500, 0.500, 0.500)
In (0.250, 0.250, 0.250)
Au (0.000, 0.000, 0.000)

Results
- Space group: F-43m, No. 216

=====

Version 3
Compound: InAuCl
Source: Alexandria via LeMat-Bulk
Functional: PBE
Structure: optimized geometry

Cell lengths 6.518, 6.205, 3.594 Å; angles 78.45, 68.85, 32.70 degrees
Positions (direct):
Au (0.008, 0.008, 0.992)
In (0.654, 0.654, 0.346)
Cl (0.337, 0.337, 0.663)

Results
- Space group: Fmm2, No. 42

=====

Here is how they stack up, most stable first: version 1, version 3, version 2.

=====

Version 1
Compound: K2InAuCl6
Source: Alexandria via LeMat-Bulk
Functional: PBE
Structure: optimized geometry

Cell lengths 7.619, 7.603, 7.977 Å; angles 60.10, 60.12, 61.08 degrees
Positions (direct):
Cl (0.021, 0.550, 0.232)
Cl (0.485, 0.656, 0.728)
Cl (0.692, 0.108, 0.761)
Cl (0.211, 0.981, 0.245)
Cl (0.158, 0.434, 0.778)
Cl (0.573, 0.214, 0.198)
In (0.316, 0.309, 0.040)
K (0.558, 0.531, 0.357)
K (0.043, 0.014, 0.928)
Au (0.605, 0.866, 0.749)

Results
- Space group: P1, No. 1

=====

Version 2
Compound: K2InAuCl6
Source: Alexandria via LeMat-Bulk
Functional: PBE
Structure: optimized geometry

Cell lengths 7.426, 7.426, 7.426 Å; angles 60.00, 60.00, 60.00 degrees
Positions (direct):
Au (0.500, 0.500, 0.500)
K (0.250, 0.250, 0.250)
K (0.750, 0.750, 0.750)
Cl (0.244, 0.756, 0.244)
Cl (0.756, 0.244, 0.244)
Cl (0.244, 0.756, 0.756)
Cl (0.756, 0.756, 0.244)
Cl (0.756, 0.244, 0.756)
Cl (0.244, 0.244, 0.756)
In (0.000, 0.000, 0.000)

Results
- Space group: Fm-3m, No. 225

=====

Here is how they stack up, most stable first: version 1, version 2.